The following is a DFT calculation (PBE) of crystalline CaZrSb2 at its relaxed geometry.

## Properties
- DFT total energy (eV per atom) = -5.191
- M_tot (μB per formula unit) = 0.27

a b c (Å): 6.688 7.876 3.848
angles (deg): 90.00 90.00 90.00
Space group Cmmm (No. 65)
Unique sites:
Ca1 0.000 0.000 0.000 x2
Zr1 0.000 0.500 0.000 x2
Sb1 0.250 0.250 0.500 x4

The following is a DFT calculation (PBE) of crystalline CaZrSb2 at its relaxed geometry.

## Properties
- DFT total energy (eV per atom) = -5.241
- M_tot (μB per formula unit) = 0.00

a b c (Å): 7.841 8.134 3.324
angles (deg): 90.00 103.04 90.00
Space group C2/m (No. 12)
Unique sites:
Ca1 0.000 0.000 0.000 x2
Zr1 0.000 0.500 0.000 x2
Sb1 0.250 0.250 0.500 x4

| no. | ΔE to the lowest computed polymorph (meV per atom) |
| --- | --- |
| 1 | 307 |
| 2 | 258 |